Record 1
Computed, not measured: a relaxed Ba2LiOsN6 crystal at the GGA-PBE level of DFT.

Raw total energy ... -0.454 Ry/atom

The structure in CIF format:
```
data_Ba2LiOsN6
_cell_length_a 5.769
_cell_length_b 5.769
_cell_length_c 8.231
_cell_angle_alpha 90.00
_cell_angle_beta 90.00
_cell_angle_gamma 90.00
_symmetry_space_group_name_H-M 'I 4/m m m'
_symmetry_Int_Tables_number 139
_symmetry_space_group_name_Hall '-I 4 2'
loop_
_atom_site_label
_atom_site_type_symbol
_atom_site_fract_x
_atom_site_fract_y
_atom_site_fract_z
Ba1 Ba 0.000 0.500 0.250
Li1 Li 0.000 0.000 0.000
Os1 Os 0.000 0.000 0.500
N1 N 0.000 0.000 0.263
N2 N 0.239 0.239 0.500
```

Record 2
Computed, not measured: a relaxed ErTmIn3Si2 crystal at the GGA-PBE level of DFT.

Raw total energy ... -0.323 Ry/atom

The structure in CIF format:
```
data_ErTmIn3Si2
_cell_length_a 10.558
_cell_length_b 4.249
_cell_length_c 6.966
_cell_angle_alpha 90.00
_cell_angle_beta 99.61
_cell_angle_gamma 90.00
_symmetry_space_group_name_H-M 'C 1 m 1'
_symmetry_Int_Tables_number 8
_symmetry_space_group_name_Hall 'C -2y'
loop_
_atom_site_label
_atom_site_type_symbol
_atom_site_fract_x
_atom_site_fract_y
_atom_site_fract_z
Er1 Er 0.000 0.000 0.000
Tm1 Tm 0.241 0.000 0.666
In1 In 0.121 0.500 0.333
In2 In 0.317 0.000 0.182
In3 In 0.424 0.500 0.484
Si1 Si 0.027 0.500 0.716
Si2 Si 0.214 0.500 0.949
```

Record 3
Computed, not measured: a relaxed Ag12Sb4Se13 crystal at the GGA-PBE level of DFT.

Raw total energy ... -0.251 Ry/atom

The structure in CIF format:
```
data_Ag12Sb4Se13
_cell_length_a 11.648
_cell_length_b 11.648
_cell_length_c 11.648
_cell_angle_alpha 90.00
_cell_angle_beta 90.00
_cell_angle_gamma 90.00
_symmetry_space_group_name_H-M 'I -4 3 m'
_symmetry_Int_Tables_number 217
_symmetry_space_group_name_Hall 'I -4 2 3'
loop_
_atom_site_label
_atom_site_type_symbol
_atom_site_fract_x
_atom_site_fract_y
_atom_site_fract_z
Ag1 Ag 0.000 0.000 0.222
Ag2 Ag 0.000 0.250 0.500
Sb1 Sb 0.233 0.233 0.233
Se1 Se 0.000 0.000 0.000
Se2 Se 0.123 0.123 0.641
```